Model one:
Density functional theory data (GGA-PBE) for NdDyTm5 after structural relaxation.

Cell: 7.689 7.689 7.689 Å, 117.59 81.63 133.04°
Atoms (fractional coordinates):
Nd 0.000 0.000 0.000
Dy 0.243 0.743 0.500
Tm 0.473 0.473 0.000
Tm 0.488 0.731 0.757
Tm 0.738 0.059 0.320
Tm 0.738 0.418 0.680
Tm 0.973 0.731 0.243

Results
As for the density of states at the Fermi level: 9.79 states/eV/f.u. Its crystal system is orthorhombic.

=====

Model two:
Density functional theory data (GGA-PBE) for NdDyTm5 after structural relaxation.

Cell: 6.681 6.681 11.998 Å, 106.63 106.63 60.95°
Atoms (fractional coordinates):
Nd 0.025 0.975 0.750
Nd 0.975 0.025 0.250
Dy 0.000 0.500 0.000
Dy 0.500 0.000 0.500
Tm 0.140 0.419 0.749
Tm 0.200 0.643 0.501
Tm 0.357 0.800 0.999
Tm 0.410 0.590 0.250
Tm 0.419 0.140 0.249
Tm 0.581 0.860 0.751
Tm 0.590 0.410 0.750
Tm 0.643 0.200 0.001
Tm 0.800 0.357 0.499
Tm 0.860 0.581 0.251

Results
As for the density of states at the Fermi level: 8.53 states/eV/f.u. Its crystal system is monoclinic.

=====

Stability summary - winner: model two; margin: 816 meV/atom.

=====

Model one:
Density functional theory data (GGA-PBE) for Nd3DyTm4 after structural relaxation.

Cell: 11.381 7.287 6.267 Å, 90.00 90.00 90.00°
Atoms (fractional coordinates):
Nd 0.000 0.128 0.000
Nd 0.250 0.128 0.337
Nd 0.250 0.872 0.837
Nd 0.500 0.872 0.500
Nd 0.750 0.128 0.337
Nd 0.750 0.872 0.837
Dy 0.000 0.869 0.500
Dy 0.500 0.131 0.000
Tm 0.000 0.380 0.501
Tm 0.000 0.620 0.002
Tm 0.248 0.620 0.335
Tm 0.252 0.380 0.835
Tm 0.500 0.380 0.502
Tm 0.500 0.620 0.001
Tm 0.748 0.380 0.835
Tm 0.752 0.620 0.335

Results
As for the density of states at the Fermi level: 14.34 states/eV/f.u. Its crystal system is orthorhombic.

=====

Model two:
Density functional theory data (GGA-PBE) for Nd3DyTm4 after structural relaxation.

Cell: 8.883 8.883 8.883 Å, 157.50 98.22 86.16°
Atoms (fractional coordinates):
Nd 0.000 0.000 0.000
Nd 0.256 0.756 0.500
Nd 0.744 0.244 0.500
Dy 0.500 0.500 0.000
Tm 0.120 0.365 0.755
Tm 0.390 0.635 0.755
Tm 0.610 0.365 0.245
Tm 0.880 0.635 0.245

Results
As for the density of states at the Fermi level: 12.47 states/eV/f.u. Its crystal system is orthorhombic.

=====

Stability summary - winner: model one; margin: 118 meV/atom.

=====

Model one:
Density functional theory data (GGA-PBE) for NdDy6Tm12 after structural relaxation.

Cell: 9.162 9.162 9.162 Å, 106.79 106.79 106.79°
Atoms (fractional coordinates):
Nd 0.000 0.000 0.000
Dy 0.287 0.688 0.688
Dy 0.312 0.312 0.713
Dy 0.312 0.713 0.312
Dy 0.688 0.287 0.688
Dy 0.688 0.688 0.287
Dy 0.713 0.312 0.312
Tm 0.111 0.344 0.344
Tm 0.112 0.500 0.888
Tm 0.112 0.888 0.500
Tm 0.344 0.111 0.344
Tm 0.344 0.344 0.111
Tm 0.500 0.112 0.888
Tm 0.500 0.888 0.112
Tm 0.656 0.656 0.889
Tm 0.656 0.889 0.656
Tm 0.888 0.112 0.500
Tm 0.888 0.500 0.112
Tm 0.889 0.656 0.656

Results
As for the density of states at the Fermi level: 30.43 states/eV/f.u. Its crystal system is trigonal.

=====

Model two:
Density functional theory data (GGA-PBE) for NdDy6Tm12 after structural relaxation.

Cell: 8.445 8.445 8.445 Å, 88.38 88.38 88.38°
Atoms (fractional coordinates):
Nd 0.000 0.000 0.000
Dy 0.089 0.255 0.682
Dy 0.255 0.682 0.089
Dy 0.318 0.911 0.745
Dy 0.682 0.089 0.255
Dy 0.745 0.318 0.911
Dy 0.911 0.745 0.318
Tm 0.007 0.352 0.218
Tm 0.218 0.007 0.352
Tm 0.229 0.563 0.454
Tm 0.352 0.218 0.007
Tm 0.437 0.546 0.771
Tm 0.454 0.229 0.563
Tm 0.546 0.771 0.437
Tm 0.563 0.454 0.229
Tm 0.648 0.782 0.993
Tm 0.771 0.437 0.546
Tm 0.782 0.993 0.648
Tm 0.993 0.648 0.782

Results
As for the density of states at the Fermi level: 29.36 states/eV/f.u. Its crystal system is trigonal.

=====

Stability summary - winner: model two; margin: 283 meV/atom.